1.
NbInRh (PBE-GGA, relaxed); final energy = -6.987 eV/atom; space-group type = No. 107; energy of formation = -0.2671 eV per atom
1.0
-1.534 1.534 5.647
1.534 -1.534 5.647
1.534 1.534 -5.647
Nb In Rh
1 1 1
Cartesian
0.000 0.000 0.000
0.000 0.000 3.517
0.000 0.000 7.289

---

2.
NbIn2Rh (PBE-GGA, relaxed); final energy = -5.691 eV/atom; space-group type = No. 225; energy of formation = 0.0331 eV per atom
1.0
0.000 3.340 3.340
3.340 0.000 3.340
3.340 3.340 0.000
Nb In Rh
1 2 1
Cartesian
0.000 0.000 0.000
1.670 1.670 1.670
5.011 5.011 5.011
3.340 3.340 3.340

---

3.
NbIn5Rh6 (PBE-GGA, relaxed); final energy = -6.079 eV/atom; space-group type = No. 65; energy of formation = -0.4227 eV per atom
1.0
2.195 -6.569 0.000
2.195 6.569 0.000
0.000 0.000 7.020
Nb In Rh
1 5 6
Cartesian
0.000 0.000 0.000
0.000 0.000 3.510
2.195 2.201 0.000
2.195 2.170 3.510
2.195 -2.170 3.510
2.195 -2.201 0.000
2.195 4.427 1.724
2.195 4.427 5.296
2.195 0.000 1.657
2.195 0.000 5.364
2.195 -4.427 1.724
2.195 -4.427 5.296

---

4.
NbInRh (PBE-GGA, relaxed); final energy = -6.918 eV/atom; space-group type = No. 12; energy of formation = -0.1983 eV per atom
1.0
4.919 -1.860 0.000
4.919 1.860 0.000
-2.254 0.000 5.835
Nb In Rh
2 2 2
Cartesian
1.541 0.000 0.591
6.043 0.000 5.244
3.224 0.000 4.280
4.360 0.000 1.555
0.390 0.000 3.485
7.194 0.000 2.350